Record 1
Material: Tb3PrBi4
Method: DFT, PBE
State: optimized geometry

Cell lengths 6.4058, 6.4058, 6.4058 Å; angles 90.00, 90.00, 90.00 degrees
Sites, in units of the cell vectors:
Tb 0.0000 0.0000 0.5000
Tb 0.0000 0.5000 0.0000
Tb 0.5000 0.0000 0.0000
Pr 0.5000 0.5000 0.5000
Bi 0.0000 0.0000 0.0000
Bi 0.0000 0.5000 0.5000
Bi 0.5000 0.0000 0.5000
Bi 0.5000 0.5000 0.0000

---

Record 2
Material: CaTb2Y6
Method: DFT, PBE
State: optimized geometry

Cell lengths 8.6372, 8.6372, 10.7655 Å; angles 117.16, 117.16, 64.23 degrees
Sites, in units of the cell vectors:
Ca 0.1548 0.8452 0.7500
Ca 0.8452 0.1548 0.2500
Tb 0.4041 0.4426 0.3181
Tb 0.4426 0.4041 0.8181
Tb 0.5574 0.5959 0.1819
Tb 0.5959 0.5574 0.6819
Y 0.0254 0.2721 0.6731
Y 0.0793 0.6490 0.9902
Y 0.2009 0.3805 0.4749
Y 0.2721 0.0254 0.1731
Y 0.3510 0.9207 0.5098
Y 0.3805 0.2009 0.9749
Y 0.6195 0.7991 0.0251
Y 0.6490 0.0793 0.4902
Y 0.7279 0.9746 0.8269
Y 0.7991 0.6195 0.5251
Y 0.9207 0.3510 0.0098
Y 0.9746 0.7279 0.3269

---

Record 3
Material: AlV4Ga2
Method: DFT, PBE
State: optimized geometry

Cell lengths 6.5111, 5.0046, 7.0854 Å; angles 90.00, 116.85, 90.00 degrees
Sites, in units of the cell vectors:
Al 0.0969 0.2500 0.1058
Al 0.9031 0.7500 0.8942
V 0.0909 0.2500 0.4639
V 0.2827 0.5125 0.8745
V 0.2827 0.9875 0.8745
V 0.4491 0.7500 0.6514
V 0.5509 0.2500 0.3486
V 0.7173 0.0125 0.1255
V 0.7173 0.4875 0.1255
V 0.9091 0.7500 0.5361
Ga 0.1018 0.7500 0.3030
Ga 0.4663 0.7500 0.2645
Ga 0.5337 0.2500 0.7355
Ga 0.8982 0.2500 0.6970

---

no.,final energy (eV/atom),mass density (g cm⁻³)
1,-5.170,9.2
2,-5.400,4.9
3,-6.652,6.0